Entry 1:
First-principles (PBE) data for crystalline ZnAgTeO at its relaxed geometry, as listed in the Open Quantum Materials Database.

Cell: 3.5972 5.9687 7.0378 Å, 90.00 75.19 90.00°
With the nearest neighbours (Å) after each atom.
Element x y z (fractional)
1 Zn 0.0890 0.7500 0.8220  2 O 1.92
2 Zn 0.9110 0.2500 0.1780  2 O 1.92
3 Te 0.2594 0.2500 0.4811  2 Zn 2.74, 2 Ag 2.97
4 Te 0.7406 0.7500 0.5189  2 Zn 2.74, 2 Ag 2.97
5 O 0.0000 0.5000 0.0000  2 Zn 1.92
6 O 0.0000 0.0000 0.0000  2 Zn 1.92
7 Ag 0.5856 0.2500 0.8287  4 O 2.61
8 Ag 0.4144 0.7500 0.1713  4 O 2.61

- E above lowest polymorph (eV per atom) = 0.277
- symmetry = Cmcm (63)

***

Entry 2:
First-principles (PBE) data for crystalline NpIn at its relaxed geometry, as listed in the Open Quantum Materials Database.

Cell: 4.4148 4.4148 4.4148 Å, 60.00 60.00 60.00°
With the nearest neighbours (Å) after each atom.
Element x y z (fractional)
1 Np 0.5000 0.5000 0.5000  6 In 3.12
2 In 0.0000 0.0000 0.0000  6 Np 3.12

- symmetry = Fm-3m (225)

***

Entry 3:
First-principles (PBE) data for crystalline Ho2LuAs3 at its relaxed geometry, as listed in the Open Quantum Materials Database.

Cell: 4.0725 4.0725 9.9642 Å, 90.00 90.00 120.00°
With the nearest neighbours (Å) after each atom.
Element x y z (fractional)
1 Lu 0.0000 0.0000 0.5000  6 As 2.86
2 Ho 0.3333 0.6667 0.8315  6 As 2.89
3 Ho 0.6667 0.3333 0.1685  6 As 2.89
4 As 0.6667 0.3333 0.6627  3 Lu 2.86, 3 Ho 2.89
5 As 0.0000 0.0000 0.0000  6 Ho 2.89
6 As 0.3333 0.6667 0.3373  3 Lu 2.86, 3 Ho 2.89

- symmetry = P-3m1 (164)

***

Entry 4:
First-principles (PBE) data for crystalline LuMgCoGe at its relaxed geometry, as listed in the Open Quantum Materials Database.

Cell: 4.5717 4.5717 4.5717 Å, 60.00 60.00 60.00°
With the nearest neighbours (Å) after each atom.
Element x y z (fractional)
1 Co 0.7500 0.7500 0.7500  4 Mg 2.80, 4 Ge 2.80
2 Ge 0.0000 0.0000 0.0000  4 Co 2.80, 4 Lu 2.80
3 Lu 0.2500 0.2500 0.2500  4 Mg 2.80, 4 Ge 2.80
4 Mg 0.5000 0.5000 0.5000  4 Lu 2.80, 4 Co 2.80

- E above lowest polymorph (eV per atom) = 0.097
- symmetry = F-43m (216)

***

Entry 5:
First-principles (PBE) data for crystalline CsAcHo at its relaxed geometry, as listed in the Open Quantum Materials Database.

Cell: 5.8266 5.8266 5.8266 Å, 60.00 60.00 60.00°
With the nearest neighbours (Å) after each atom.
Element x y z (fractional)
1 Cs 0.7500 0.7500 0.7500  4 Ho 3.57, 4 Ac 3.57
2 Ac 0.0000 0.0000 0.0000  4 Cs 3.57
3 Ho 0.5000 0.5000 0.5000  4 Cs 3.57

- E above lowest polymorph (eV per atom) = 0.049
- symmetry = F-43m (216)

***

Entry 6:
First-principles (PBE) data for crystalline ZrZnCuSb at its relaxed geometry, as listed in the Open Quantum Materials Database.

Cell: 4.7494 4.7494 4.7494 Å, 60.00 60.00 60.00°
With the nearest neighbours (Å) after each atom.
Element x y z (fractional)
1 Zn 0.5000 0.5000 0.5000  4 Cu 2.91, 4 Zr 2.91
2 Cu 0.7500 0.7500 0.7500  4 Sb 2.91, 4 Zn 2.91
3 Sb 0.0000 0.0000 0.0000  4 Cu 2.91, 4 Zr 2.91
4 Zr 0.2500 0.2500 0.2500  4 Zn 2.91, 4 Sb 2.91

- E above lowest polymorph (eV per atom) = 0.000
- symmetry = F-43m (216)

***

no.,calculated total energy (eV/atom)
1,-3.34
2,-6.91
3,-6.11
4,-4.55
5,-2.05
6,-4.35